# SrSiPt4

An optimized crystal structure of SrSiPt4 (PBE-GGA, Alexandria).

Summary:
- electronic total energy (eV/f.u.) = -33.30
- space-group type = No. 216
- raw formation energy (eV/atom) = -0.3382
- calculated volume (Å³ per cell) = 112
- total moment (μB per cell) = 0.00

a = 5.418 Å, b = 5.418 Å, c = 5.418 Å
α = 60.00°, β = 60.00°, γ = 60.00°
Fractional coordinates of all 6 atoms:
Pt  0.376  0.376  0.376
Pt  0.376  0.376  0.873
Pt  0.376  0.873  0.376
Pt  0.873  0.376  0.376
Sr  0.000  0.000  0.000
Si  0.750  0.750  0.750